No. 1
## LaZrTl2 (PBE)

Data for a relaxed LaZrTl2 crystal.

Results
- space group = Cm, No. 8
- formation energy from the elements (eV per atom) = -0.042

a = 6.3702 Å, b = 6.3702 Å, c = 5.5912 Å
α = 65.92°, β = 65.92°, γ = 32.21°
Last column: nearest neighbours and their distance in Å.
Positions (direct):
1 La 0.2459 0.2459 0.3082  7 Tl 3.26-3.48, 3 Zr 3.38-3.40, 2 La 3.53
2 Tl 0.0077 0.0077 0.9353  4 Zr 3.29-3.33, 5 Tl 3.32-3.53, 3 La 3.47-3.48
3 Tl 0.7554 0.7554 0.8096  2 Zr 3.25, 4 La 3.26-3.36, 5 Tl 3.32-3.53
4 Zr 0.4909 0.4909 0.4469  6 Tl 3.25-3.33, 3 La 3.38-3.40, 2 Zr 3.53

=====

No. 2
## NdAl3IrRh (PBE)

Data for a relaxed NdAl3IrRh crystal.

Results
- space group = Cmcm, No. 63
- formation energy from the elements (eV per atom) = -0.579

a = 5.8471 Å, b = 7.8123 Å, c = 6.6935 Å
α = 125.70°, β = 90.00°, γ = 90.00°
Last column: nearest neighbours and their distance in Å.
Positions (direct):
1 Al 0.2500 0.2294 0.4588  1 Rh 2.25, 1 Ir 2.33
2 Al 0.5000 0.7481 0.0000  2 Rh 2.46, 2 Ir 2.50
3 Al 0.5000 0.2519 0.0000  2 Rh 2.46, 2 Ir 2.50
4 Al 0.0000 0.2519 0.0000  2 Rh 2.46, 2 Ir 2.50
5 Al 0.7500 0.7706 0.5412  1 Rh 2.25, 1 Ir 2.33
6 Al 0.0000 0.7481 0.0000  2 Rh 2.46, 2 Ir 2.50
7 Nd 0.2500 0.7292 0.4584  2 Al 2.96, 1 Ir 3.11, 1 Rh 3.18
8 Nd 0.7500 0.2708 0.5416  2 Al 2.96, 1 Ir 3.11, 1 Rh 3.18
9 Rh 0.7500 0.9779 0.9558  5 Al 2.25-2.46
10 Rh 0.2500 0.0221 0.0442  5 Al 2.25-2.46
11 Ir 0.7500 0.5567 0.1134  5 Al 2.33-2.50
12 Ir 0.2500 0.4433 0.8866  5 Al 2.33-2.50

=====

No. 3
## NaAg2F7 (PBE)

Data for a relaxed NaAg2F7 crystal.

Results
- space group = Cmmm, No. 65
- formation energy (no corrections) (eV per atom) = -1.29

a = 4.1295 Å, b = 6.7818 Å, c = 6.7818 Å
α = 123.08°, β = 90.00°, γ = 90.00°
Last column: nearest neighbours and their distance in Å.
Positions (direct):
1 Ag 0.5000 0.6730 0.3270  5 F 2.06
2 Ag 0.5000 0.3270 0.6730  5 F 2.06
3 F 0.0000 0.6742 0.3258  2 Ag 2.06
4 F 0.5000 0.0380 0.3316  1 Ag 2.06
5 F 0.5000 0.6684 0.9620  1 Ag 2.06
6 F 0.0000 0.3258 0.6742  2 Ag 2.06
7 F 0.5000 0.3316 0.0380  1 Ag 2.06
8 F 0.5000 0.5000 0.5000  2 Ag 2.06
9 F 0.5000 0.9620 0.6684  1 Ag 2.06
10 Na 0.0000 0.0000 0.0000  8 F 2.96

=====

No. 4
## Pm2SnHg (PBE)

Data for a relaxed Pm2SnHg crystal.

Results
- distance to the lowest polymorph of the same formula (eV/atom) = 0.0001
- space group = P4/mmm, No. 123
- formation energy from the elements (eV per atom) = -0.603

a = 3.9716 Å, b = 5.3153 Å, c = 5.3153 Å
α = 90.00°, β = 90.00°, γ = 90.00°
Last column: nearest neighbours and their distance in Å.
Positions (direct):
1 Pm 0.0000 0.5000 0.0000  4 Hg 3.32, 4 Sn 3.32
2 Pm 0.0000 0.0000 0.5000  4 Hg 3.32, 4 Sn 3.32
3 Hg 0.5000 0.5000 0.5000  8 Pm 3.32
4 Sn 0.5000 0.0000 0.0000  8 Pm 3.32

=====

No. 5
## ZrMnNi (PBE)

Data for a relaxed ZrMnNi crystal.

Results
- space group = P3m1, No. 156
- formation energy from the elements (eV per atom) = 0.220

a = 2.9523 Å, b = 2.9523 Å, c = 6.4464 Å
α = 90.00°, β = 90.00°, γ = 120.00°
Last column: nearest neighbours and their distance in Å.
Positions (direct):
1 Ni 0.6667 0.3333 0.3167  3 Mn 2.52, 3 Zr 2.77
2 Zr 0.3333 0.6667 0.6555  3 Ni 2.77, 3 Mn 2.94, 6 Zr 2.95
3 Mn 0.0000 0.0000 0.0278  3 Ni 2.52

=====

No. 6
## Pr5HoSb5 (PBE)

Data for a relaxed Pr5HoSb5 crystal.

Results
- space group = C2/m, No. 12
- formation energy (no corrections) (eV per atom) = -0.99

a = 6.3577 Å, b = 7.7727 Å, c = 8.9623 Å
α = 106.98°, β = 90.00°, γ = 114.14°
Last column: nearest neighbours and their distance in Å.
Positions (direct):
1 Pr 0.6649 0.3297 0.8322  5 Sb 3.16-3.20
2 Pr 0.0000 0.0000 0.5000  4 Sb 3.17
3 Pr 0.6715 0.3430 0.3320  5 Sb 3.16-3.19
4 Pr 0.3285 0.6570 0.6680  5 Sb 3.16-3.19
5 Pr 0.3351 0.6703 0.1678  5 Sb 3.16-3.20
6 Sb 0.1644 0.3287 0.8370  1 Ho 3.12, 5 Pr 3.16-3.18
7 Sb 0.8362 0.6724 0.6713  1 Ho 3.11, 5 Pr 3.17-3.20
8 Sb 0.8356 0.6713 0.1630  1 Ho 3.12, 5 Pr 3.16-3.18
9 Sb 0.5000 0.0000 0.0000  4 Pr 3.16-3.18, 2 Ho 3.18
10 Sb 0.1638 0.3276 0.3287  1 Ho 3.11, 5 Pr 3.17-3.20
11 Ho 0.0000 0.0000 0.0000  6 Sb 3.11-3.18

=====

No. 7
## AcNi (PBE)

Data for a relaxed AcNi crystal.

Results
- space group = Fm-3m, No. 225
- formation energy from the elements (eV per atom) = -0.182

a = 4.2517 Å, b = 4.2517 Å, c = 4.2517 Å
α = 60.00°, β = 60.00°, γ = 60.00°
Last column: nearest neighbours and their distance in Å.
Positions (direct):
1 Ac 0.5000 0.5000 0.5000  6 Ni 3.01
2 Ni 0.0000 0.0000 0.0000  6 Ac 3.01

=====

No. 8
## CaTlCl2 (PBE)

Data for a relaxed CaTlCl2 crystal.

Results
- distance to the lowest polymorph of the same formula (eV/atom) = 0.4385
- space group = I4/mmm, No. 139
- formation energy (no corrections) (eV per atom) = -1.18

a = 5.4926 Å, b = 5.4926 Å, c = 5.4926 Å
α = 125.60°, β = 125.60°, γ = 80.55°
Last column: nearest neighbours and their distance in Å.
Positions (direct):
1 Tl 0.2500 0.7500 0.5000  8 Cl 3.27, 4 Ca 3.55
2 Cl 0.5000 0.5000 0.0000  4 Tl 3.27, 4 Ca 3.27, 4 Cl 3.55
3 Cl 0.0000 0.0000 0.0000  4 Ca 3.27, 4 Tl 3.27, 4 Cl 3.55
4 Ca 0.7500 0.2500 0.5000  8 Cl 3.27, 4 Tl 3.55

=====

No. 9
## RePbN2O (PBE)

Data for a relaxed RePbN2O crystal.

Results
- space group = P4/mmm, No. 123
- formation energy (no corrections) (eV per atom) = -0.15

a = 3.9946 Å, b = 3.9946 Å, c = 3.9860 Å
α = 90.00°, β = 90.00°, γ = 90.00°
Last column: nearest neighbours and their distance in Å.
Positions (direct):
1 N 0.5000 0.0000 0.0000  2 Re 2.00
2 N 0.0000 0.5000 0.0000  2 Re 2.00
3 Re 0.0000 0.0000 0.0000  2 O 1.99, 4 N 2.00
4 Pb 0.5000 0.5000 0.5000  8 N 2.82, 4 O 2.82
5 O 0.0000 0.0000 0.5000  2 Re 1.99

=====

No. 10
## TaInP2 (PBE)

Data for a relaxed TaInP2 crystal.

Results
- space group = R3m, No. 160
- formation energy from the elements (eV per atom) = 0.165

a = 8.0586 Å, b = 8.0586 Å, c = 8.0586 Å
α = 23.01°, β = 23.01°, γ = 23.01°
Last column: nearest neighbours and their distance in Å.
Positions (direct):
1 Ta 0.5127 0.5127 0.5127  3 P 2.59
2 P 0.2560 0.2560 0.2560  3 P 2.37, 3 Ta 2.59
3 P 0.9855 0.9855 0.9855  3 P 2.37
4 In 0.7458 0.7458 0.7458  3 P 2.88, 3 Ta 3.00, 6 In 3.21

=====

No. 11
## Pr5Tl2H2 (PBE)

Data for a relaxed Pr5Tl2H2 crystal.

Results
- space group = C2/m, No. 12
- E_tot (eV per cell) = -38.24

a = 5.5026 Å, b = 6.9178 Å, c = 6.8535 Å
α = 97.92°, β = 90.00°, γ = 113.44°
Last column: nearest neighbours and their distance in Å.
Positions (direct):
1 Pr 0.1522 0.3045 0.5421  1 H 2.34
2 Pr 0.6714 0.3427 0.8918  1 H 2.36
3 Pr 0.0000 0.0000 0.0000  2 H 2.36
4 Pr 0.3286 0.6573 0.1082  1 H 2.36
5 Pr 0.8478 0.6955 0.4579  1 H 2.34
6 Tl 0.5763 0.1527 0.3218  7 Pr 3.22-3.57, 1 Tl 3.34
7 Tl 0.4237 0.8473 0.6782  7 Pr 3.22-3.57, 1 Tl 3.34
8 H 0.8330 0.6660 0.1131  3 Pr 2.34-2.36
9 H 0.1670 0.3340 0.8869  3 Pr 2.34-2.36

=====

No. 12
## Li2RuBr (PBE)

Data for a relaxed Li2RuBr crystal.

Results
- distance to the lowest polymorph of the same formula (eV/atom) = 0.0173
- space group = P4/mmm, No. 123
- formation energy (no corrections) (eV per atom) = -0.01

a = 3.1508 Å, b = 3.1508 Å, c = 6.6693 Å
α = 90.00°, β = 90.00°, γ = 90.00°
Last column: nearest neighbours and their distance in Å.
Positions (direct):
1 Li 0.0000 0.0000 0.9845  4 Br 2.72, 4 Ru 2.85
2 Li 0.0000 0.0000 0.5155  4 Br 2.72, 4 Ru 2.85
3 Ru 0.5000 0.5000 0.2500  8 Li 2.85, 4 Ru 3.15
4 Br 0.5000 0.5000 0.7500  8 Li 2.72

=====

No. 13
## CaLaIn3 (PBE)

Data for a relaxed CaLaIn3 crystal.

Results
- distance to the lowest polymorph of the same formula (eV/atom) = 0.0000
- space group = Pm-3m, No. 221
- formation energy from the elements (eV per atom) = 0.231

a = 5.5846 Å, b = 5.5846 Å, c = 5.5846 Å
α = 90.00°, β = 90.00°, γ = 90.00°
Last column: nearest neighbours and their distance in Å.
Positions (direct):
1 In 0.5000 0.0000 0.0000  2 Ca 2.79
2 In 0.0000 0.5000 0.0000  2 Ca 2.79
3 In 0.0000 0.0000 0.5000  2 Ca 2.79
4 La 0.5000 0.5000 0.5000  12 In 3.95
5 Ca 0.0000 0.0000 0.0000  6 In 2.79

=====

No. 14
## HfSbOs2Cl (PBE)

Data for a relaxed HfSbOs2Cl crystal.

Results
- space group = P4/mmm, No. 123
- formation energy (no corrections) (eV per atom) = 1.31

a = 4.9928 Å, b = 4.7098 Å, c = 4.9928 Å
α = 90.00°, β = 90.00°, γ = 90.00°
Last column: nearest neighbours and their distance in Å.
Positions (direct):
1 Sb 0.5000 0.5000 0.5000  8 Os 3.43, 4 Cl 3.53
2 Os 0.0000 0.0000 0.5000  2 Hf 2.50
3 Os 0.5000 0.0000 0.0000  2 Hf 2.50
4 Hf 0.0000 0.0000 0.0000  2 Cl 2.35, 4 Os 2.50
5 Cl 0.0000 0.5000 0.0000  2 Hf 2.35

=====

No. 15
## CuTc2Br (PBE)

Data for a relaxed CuTc2Br crystal.

Results
- distance to the lowest polymorph of the same formula (eV/atom) = 0.7246
- space group = P4/mmm, No. 123
- formation energy (no corrections) (eV per atom) = 1.08

a = 4.5779 Å, b = 3.7161 Å, c = 3.7161 Å
α = 90.00°, β = 90.00°, γ = 90.00°
Last column: nearest neighbours and their distance in Å.
Positions (direct):
1 Tc 0.0000 0.0000 0.0000  4 Tc 2.63
2 Tc 0.0000 0.5000 0.5000  4 Tc 2.63
3 Cu 0.5000 0.0000 0.5000  4 Br 2.63
4 Br 0.5000 0.5000 0.0000  4 Cu 2.63

=====

No. 16
## YMg2 (PBE)

Data for a relaxed YMg2 crystal.

Results
- space group = P6_3/mmc, No. 194
- formation energy from the elements (eV per atom) = -0.092

a = 6.0740 Å, b = 6.0740 Å, c = 9.7875 Å
α = 90.00°, β = 90.00°, γ = 120.01°
Last column: nearest neighbours and their distance in Å.
Positions (direct):
1 Y 0.6667 0.3333 0.9351  12 Mg 3.52-3.56, 4 Y 3.62-3.73
2 Y 0.3333 0.6667 0.4351  12 Mg 3.52-3.56, 4 Y 3.62-3.73
3 Y 0.3333 0.6667 0.0649  12 Mg 3.52-3.56, 4 Y 3.62-3.73
4 Y 0.6667 0.3333 0.5649  12 Mg 3.52-3.56, 4 Y 3.62-3.73
5 Mg 0.0000 0.0000 0.0000  6 Mg 3.04
6 Mg 0.0000 0.0000 0.5000  6 Mg 3.04
7 Mg 0.8290 0.6580 0.2500  6 Mg 2.96-3.12
8 Mg 0.1710 0.3420 0.7500  6 Mg 2.96-3.12
9 Mg 0.3420 0.1710 0.2500  6 Mg 2.96-3.12
10 Mg 0.8290 0.1710 0.2500  6 Mg 2.96-3.12
11 Mg 0.6580 0.8290 0.7500  6 Mg 2.96-3.12
12 Mg 0.1710 0.8290 0.7500  6 Mg 2.96-3.12

=====

No. 17
## Sb2Pd8Se3 (PBE)

Data for a relaxed Sb2Pd8Se3 crystal.

Results
- space group = C2/m, No. 12
- formation energy (no corrections) (eV per atom) = -0.19

a = 5.2286 Å, b = 7.6878 Å, c = 7.5309 Å
α = 120.69°, β = 100.39°, γ = 90.00°
Last column: nearest neighbours and their distance in Å.
Positions (direct):
1 Pd 0.4177 0.9582 0.2980  2 Se 2.53-2.61, 2 Sb 2.70-2.72, 2 Pd 2.73-2.83
2 Pd 0.5823 0.6602 0.7020  2 Se 2.53-2.61, 2 Sb 2.70-2.72, 2 Pd 2.73-2.83
3 Pd 0.4177 0.3398 0.2980  2 Se 2.53-2.61, 2 Sb 2.70-2.72, 2 Pd 2.73-2.83
4 Pd 0.8824 0.3832 0.7665  2 Se 2.56, 2 Sb 2.69-2.81, 2 Pd 2.83
5 Pd 0.1176 0.6168 0.2335  2 Se 2.56, 2 Sb 2.69-2.81, 2 Pd 2.83
6 Pd 0.9077 0.1519 0.3037  3 Se 2.58-2.76, 1 Sb 2.74
7 Pd 0.0923 0.8481 0.6963  3 Se 2.58-2.76, 1 Sb 2.74
8 Pd 0.5823 0.0418 0.7020  2 Se 2.53-2.61, 2 Sb 2.70-2.72, 2 Pd 2.73-2.83
9 Se 0.0000 0.7697 0.0000  6 Pd 2.56-2.76
10 Se 0.0000 0.2303 0.0000  6 Pd 2.56-2.76
11 Se 0.5000 0.0000 0.0000  6 Pd 2.53-2.58
12 Sb 0.6655 0.6843 0.3687  7 Pd 2.69-2.81
13 Sb 0.3345 0.3157 0.6313  7 Pd 2.69-2.81

=====

No. 18
## K2YTcMo (PBE)

Data for a relaxed K2YTcMo crystal.

Results
- space group = P4/mmm, No. 123
- formation energy from the elements (eV per atom) = 1.578

a = 6.0987 Å, b = 4.6563 Å, c = 6.0987 Å
α = 90.00°, β = 90.00°, γ = 90.00°
Last column: nearest neighbours and their distance in Å.
Positions (direct):
1 Tc 0.0000 0.0000 0.0000  2 Mo 2.33
2 K 0.0000 0.0000 0.5000  2 Tc 3.05
3 K 0.5000 0.0000 0.0000  2 Tc 3.05
4 Y 0.5000 0.5000 0.5000  8 K 3.84
5 Mo 0.0000 0.5000 0.0000  2 Tc 2.33

=====

No. 19
## Hf6OsPb (PBE)

Data for a relaxed Hf6OsPb crystal.

Results
- space group = C2/m, No. 12
- formation energy from the elements (eV per atom) = 0.146

a = 6.0634 Å, b = 6.0667 Å, c = 6.0620 Å
α = 108.03°, β = 108.01°, γ = 108.12°
Last column: nearest neighbours and their distance in Å.
Positions (direct):
1 Hf 0.7574 0.2932 0.7572  1 Os 2.71, 3 Hf 2.95-3.02
2 Hf 0.7074 0.2428 0.2429  1 Os 2.72, 3 Hf 2.95-3.02
3 Hf 0.2426 0.2428 0.7064  1 Os 2.71, 3 Hf 2.95-3.02
4 Hf 0.2926 0.7572 0.7571  1 Os 2.72, 3 Hf 2.95-3.02
5 Hf 0.7574 0.7572 0.2936  1 Os 2.71, 3 Hf 2.95-3.02
6 Hf 0.2426 0.7068 0.2428  1 Os 2.71, 3 Hf 2.95-3.02
7 Pb 0.0000 0.0000 0.0000  6 Hf 3.06-3.07, 2 Os 3.24
8 Os 0.5000 0.5000 0.5000  6 Hf 2.71-2.72

=====

Number 1: total magnetic moment 0.00 μB per formula unit. Number 2: total magnetic moment 0.00 μB per formula unit. Number 3: total magnetic moment 0.00 μB per formula unit. Number 4: total magnetic moment 0.00 μB per formula unit. Number 5: total magnetic moment 4.00 μB per formula unit. Number 6: total magnetic moment 0.01 μB per formula unit. Number 7: total magnetic moment 0.00 μB per formula unit. Number 8: total magnetic moment 0.00 μB per formula unit. Number 9: total magnetic moment 0.00 μB per formula unit. Number 10: total magnetic moment 0.00 μB per formula unit. Number 11: total magnetic moment 0.00 μB per formula unit. Number 12: total magnetic moment 2.02 μB per formula unit. Number 13: total magnetic moment 0.00 μB per formula unit. Number 14: total magnetic moment 1.56 μB per formula unit. Number 15: total magnetic moment 0.43 μB per formula unit. Number 16: total magnetic moment 0.00 μB per formula unit. Number 17: total magnetic moment 0.00 μB per formula unit. Number 18: total magnetic moment 0.78 μB per formula unit. Number 19: total magnetic moment 0.00 μB per formula unit.